RbMn2AuBr8: relaxed, GGA-PBE.

Cell lengths 6.9446, 6.9446, 9.7105 Å; angles 90.00, 90.00, 120.00 degrees
With the nearest neighbours (Å) after each atom.
Element x y z (fractional)
Rb (0.0000, 0.0000, 0.0000)  12 Br 3.88-4.01
Mn (0.6667, 0.3333, 0.2619)  4 Br 2.39-2.44
Mn (0.3333, 0.6667, 0.7381)  4 Br 2.39-2.44
Au (0.0000, 0.0000, 0.5000)  6 Br 2.74
Br (0.3333, 0.6667, 0.9838)  1 Mn 2.39
Br (0.3179, 0.3104, 0.3300)  1 Mn 2.44
Br (0.6896, 0.0075, 0.3300)  1 Mn 2.44
Br (0.6667, 0.3333, 0.0162)  1 Mn 2.39
Br (0.3104, 0.9925, 0.6700)  1 Mn 2.44
Br (0.6821, 0.6896, 0.6700)  1 Mn 2.44
Br (0.0075, 0.3179, 0.6700)  1 Mn 2.44
Br (0.9925, 0.6821, 0.3300)  1 Mn 2.44

Properties
symmetry: P-3
uncorrected formation energy: -0.70 eV/atom
total energy: -44.37 eV for the cell shown
total magnetization: 8.00 Bohr magnetons per cell
ρ: 4223 kg/m3

Rb2MnAuBr6: relaxed, GGA-PBE.

Cell lengths 7.9168, 7.9168, 7.8115 Å; angles 59.55, 59.55, 90.00 degrees
With the nearest neighbours (Å) after each atom.
Element x y z (fractional)
Mn (0.5000, 0.5000, 0.0000)  4 Br 2.45
Au (0.0000, 0.0000, 0.0000)  2 Br 2.48
Br (0.2276, 0.2276, 0.5447)  1 Au 2.48
Br (0.7724, 0.7724, 0.4553)  1 Au 2.48
Br (0.2808, 0.2808, 0.0000)  1 Mn 2.45
Br (0.7192, 0.7192, 0.0000)  1 Mn 2.45
Br (0.7192, 0.2808, 0.0000)  1 Mn 2.45
Br (0.2808, 0.7192, 0.0000)  1 Mn 2.45
Rb (0.7500, 0.2500, 0.5000)  12 Br 3.92-3.97
Rb (0.2500, 0.7500, 0.5000)  12 Br 3.92-3.97

Properties
symmetry: I4/mmm
uncorrected formation energy: -0.99 eV/atom
total energy: -34.32 eV for the cell shown
total magnetization: 4.00 Bohr magnetons per cell
ρ: 4388 kg/m3

MnTl2AuBr6: relaxed, GGA-PBE.

Cell lengths 7.7171, 8.1486, 7.2523 Å; angles 74.41, 67.27, 56.89 degrees
With the nearest neighbours (Å) after each atom.
Element x y z (fractional)
Mn (0.3068, 0.3028, 0.0642)  5 Br 2.43-2.63
Tl (0.6168, 0.6178, 0.2130)  1 Au 3.29, 5 Br 3.30-3.45
Tl (0.0672, 0.0079, 0.9129)  1 Au 3.24, 5 Br 3.28-3.49
Au (0.5899, 0.8059, 0.7556)  2 Br 2.42-2.44
Br (0.5637, 0.2186, 0.2362)  1 Mn 2.43
Br (0.1720, 0.0668, 0.2797)  1 Mn 2.56
Br (0.0589, 0.6131, 0.2246)  1 Mn 2.45
Br (0.5524, 0.5484, 0.6993)  1 Au 2.42
Br (0.6394, 0.0648, 0.7935)  1 Au 2.44, 1 Mn 2.63
Br (0.0945, 0.4156, 0.8362)  1 Mn 2.43

Properties
symmetry: P1
uncorrected formation energy: -0.62 eV/atom
total energy: -33.42 eV for the cell shown
total magnetization: 4.00 Bohr magnetons per cell
ρ: 5388 kg/m3

YMn2AuBr: relaxed, GGA-PBE.

Cell lengths 5.0248, 5.5716, 5.0248 Å; angles 90.00, 90.00, 90.00 degrees
With the nearest neighbours (Å) after each atom.
Element x y z (fractional)
Y (0.0000, 0.5000, 0.0000)  2 Au 2.79
Mn (0.0000, 0.0000, 0.5000)  2 Au 2.51
Mn (0.5000, 0.0000, 0.0000)  2 Au 2.51
Au (0.0000, 0.0000, 0.0000)  4 Mn 2.51, 2 Y 2.79
Br (0.5000, 0.5000, 0.5000)  4 Y 3.55, 8 Mn 3.75

Properties
symmetry: P4/mmm
uncorrected formation energy: 0.22 eV/atom
total energy: -28.64 eV for the cell shown
total magnetization: 8.89 Bohr magnetons per cell
ρ: 5615 kg/m3

Question: What is the formula in the second record?
Answer: Rb2MnAuBr6

Question: Among the records above, which one has the highest ρ?
Answer: YMn2AuBr